Computed, not measured: a crystal of NaSr2SbS relaxed with PBEsol at the SCAN level of DFT.

Computed properties:
The density comes out at 3.6 Mg/m³. As for the calculated volume: 32.93 Å³ per atom. As for the magnetic moment: 0.00 μB/cell. The value obtained for the total energy is -97.89 eV for the cell shown.

Structure (CIF):
```
data_NaSr2SbS
_chemical_formula_sum 'Na1 Sr2 Sb1 S1'
_cell_length_a 4.4907
_cell_length_b 6.0548
_cell_length_c 6.0548
_cell_angle_alpha 90.00
_cell_angle_beta 90.00
_cell_angle_gamma 90.00
_space_group_name_H-M_alt 'P 1'
_space_group_IT_number 1
loop_
_space_group_symop_operation_xyz
'x,y,z'
loop_
_atom_site_label
_atom_site_type_symbol
_atom_site_fract_x
_atom_site_fract_y
_atom_site_fract_z
Sb1 Sb 0.5000 0.5000 0.5000
S1 S 0.5000 0.0000 0.0000
Na1 Na 0.0000 0.0000 0.0000
Sr1 Sr 0.0000 0.0000 0.5000
Sr2 Sr 0.0000 0.5000 0.0000
```